Entry from Alexandria: an optimized crystal structure of TaAlSn2Te (PBE).

abc: 5.7254 5.7254 4.9687
angles: 90.00 90.00 90.00
Closest atoms and distances in Å follow each position.
Space group P4/mmm (No. 123)
One atom of each set of equivalent atoms:
Ta 0.0000 0.0000 0.0000 x1  8 Sn 3.79, 4 Al 4.05
Al 0.5000 0.5000 0.0000 x1  2 Te 2.48
Sn 0.0000 0.5000 0.5000 x2  2 Te 2.86
Te 0.5000 0.5000 0.5000 x1  2 Al 2.48

Computed properties:
Magnetic moment ... 0.53 μB per atom
Formation energy without anion corrections ... 1.570 eV per atom
D(E_F) ... 6.165 states/eV per cell
Crystal system ... tetragonal